[1]
Computed, not measured: crystalline Pm2CuSb3Pt4 at its relaxed geometry at the PBE-GGA level of DFT.

Summary:
ΔE_f (raw)   -0.77 eV per atom
Size of the total moment   0.000 μB/f.u.
V   21.6 A^3/atom
Space group   No. 115
E   -5.79 eV per atom

Cell: 4.5525 4.5525 10.4143 Å, 90.00 90.00 90.00°
Atoms (fractional coordinates):
Sb 0.0000 0.5000 0.1354
Pt 0.0000 0.5000 0.3811
Pm 0.5000 0.0000 0.2482
Pt 0.0000 0.0000 0.0000
Pt 0.5000 0.0000 0.6189
Sb 0.5000 0.0000 0.8646
Pt 0.5000 0.5000 0.0000
Sb 0.0000 0.0000 0.5000
Pm 0.0000 0.5000 0.7518
Cu 0.5000 0.5000 0.5000

[2]
Computed, not measured: crystalline PmScCuPt at its relaxed geometry at the PBE-GGA level of DFT.

Summary:
Formation energy from the elements   -0.69 eV/atom
E above lowest polymorph   0.0 kJ/mol of atoms
Size of the total moment   0.000 μB/f.u.
V   21.1 A^3/atom
Space group   No. 38
E   -6.00 eV per atom

Cell: 3.6685 4.3473 5.6104 Å, 90.00 109.08 90.00°
Atoms (fractional coordinates):
Cu 0.4265 0.0000 0.8531
Pm 0.8564 0.5000 0.7128
Sc 0.1356 0.0000 0.2712
Pt 0.5814 0.5000 0.1629

[3]
Computed, not measured: crystalline PmScCuPt at its relaxed geometry at the PBE-GGA level of DFT.

Summary:
Formation energy from the elements   -0.67 eV/atom
E above lowest polymorph   2.5 kJ/mol of atoms
Size of the total moment   0.000 μB/f.u.
V   20.4 A^3/atom
Space group   No. 216
E   -5.97 eV per atom

Cell: 4.8692 4.8692 4.8692 Å, 60.00 60.00 60.00°
Atoms (fractional coordinates):
Cu 0.2500 0.2500 0.2500
Pm 0.5000 0.5000 0.5000
Sc 0.0000 0.0000 0.0000
Pt 0.7500 0.7500 0.7500

[4]
Computed, not measured: crystalline Pm2Cu3Si4Pt at its relaxed geometry at the PBE-GGA level of DFT.

Summary:
ΔE_f (raw)   -0.67 eV per atom
Size of the total moment   0.000 μB/f.u.
V   16.8 A^3/atom
Space group   No. 115
E   -5.62 eV per atom

Cell: 4.0975 4.0975 10.0057 Å, 90.00 90.00 90.00°
Atoms (fractional coordinates):
Pt 0.5000 0.5000 0.5000
Si 0.0000 0.0000 0.0000
Cu 0.5000 0.0000 0.8725
Si 0.5000 0.0000 0.6344
Pm 0.5000 0.0000 0.2441
Cu 0.0000 0.5000 0.1275
Pm 0.0000 0.5000 0.7559
Si 0.0000 0.5000 0.3656
Cu 0.0000 0.0000 0.5000
Si 0.5000 0.5000 0.0000